(1)
Computed, not measured: a PBEsol-optimized structure of Ba3NaGd3Si6O20 at the SCAN level of DFT.

Cell and atoms, written as extended XYZ:
```
66
Lattice="5.529 0.000 0.000 -2.765 11.938 0.000 0.000 0.000 14.747" Properties=species:S:1:pos:R:3 pbc="T T T"
Si 2.567 8.348 8.206
O 4.029 4.504 6.914
Si 2.261 7.412 11.061
Si 2.567 8.348 13.915
O 3.697 7.703 3.687
O 3.323 3.672 9.758
Si 2.547 4.287 11.061
Na -0.768 9.257 11.061
O 1.100 4.102 14.741
O 3.866 0.632 8.969
Si 2.433 0.004 12.694
Si -0.218 7.651 3.687
Ba 2.372 6.133 5.702
Si -0.504 4.525 3.687
Ba -0.392 5.804 9.045
O 2.991 8.186 12.317
O 0.234 6.014 3.687
O 3.866 0.632 13.152
O 2.998 5.924 11.061
O 0.558 8.266 4.990
O 4.821 2.085 0.503
O 1.102 11.306 5.778
O -0.822 10.626 13.506
O 0.668 7.392 11.061
Ba 2.372 6.133 1.672
Si -0.331 11.934 2.053
Gd 0.033 0.000 0.000
Gd 0.022 9.316 0.461
O -1.665 7.836 7.367
Gd 2.786 2.622 7.835
Si -0.197 3.590 0.832
O 1.102 11.306 1.596
O 1.264 7.434 14.288
O -0.822 10.626 8.615
O 1.316 1.170 13.033
O 3.323 3.672 12.363
O 3.433 4.546 3.687
Na 1.997 2.681 3.687
Si -0.197 3.590 6.542
O 0.932 4.235 11.061
O 2.057 9.853 7.877
O 4.029 4.504 0.460
Ba -0.392 5.804 13.076
Si 2.433 0.004 9.427
O 2.057 9.853 14.244
Si -0.331 11.934 5.321
O -1.665 7.836 0.007
O 0.226 3.752 2.431
Gd 2.786 2.622 14.286
O 1.316 1.170 9.088
O 2.991 8.186 9.805
O -1.448 10.768 5.659
O 1.943 1.312 6.133
O 4.821 2.085 6.870
O 1.264 7.434 7.833
O 1.100 4.102 7.380
O 0.226 3.752 4.943
Ba 2.370 9.995 3.687
O -0.320 11.590 11.061
O 0.558 8.266 2.384
O 1.943 1.312 1.241
O 2.444 0.348 3.687
O -1.448 10.768 1.714
Gd 0.033 0.000 7.374
Gd 0.022 9.316 6.913
Ba -0.395 1.943 11.061
```

## Properties
Formation energy without anion corrections: -3321 meV per atom
Space group: Ama2, No. 40
DOS at the Fermi energy: 0.000 states/eV/f.u.


(2)
Computed, not measured: a PBEsol-optimized structure of ZrScIn2 at the SCAN level of DFT.

Cell and atoms, written as extended XYZ:
```
4
Lattice="-3.812 -0.836 0.610 -0.233 -1.879 -4.029 3.295 -3.013 3.674" Properties=species:S:1:pos:R:3 pbc="T T T"
In 0.658 -2.259 1.015
Sc -1.902 -0.430 0.310
Zr -1.390 -3.529 -0.733
In -0.655 -4.715 2.236
```

## Properties
Space group: Imm2, No. 44
DOS at the Fermi energy: 2.694 states/eV/f.u.


(3)
Computed, not measured: a PBEsol-optimized structure of BaZrBr2 at the SCAN level of DFT.

Cell and atoms, written as extended XYZ:
```
4
Lattice="-0.011 2.136 3.187 -3.566 1.170 -0.797 -2.815 -5.897 3.942" Properties=species:S:1:pos:R:3 pbc="T T T"
Zr -1.129 -2.365 1.581
Br -2.668 -0.190 2.427
Ba -3.932 -2.838 4.197
Br -0.071 -0.149 0.099
```

## Properties
Formation energy without anion corrections: -963 meV per atom
Space group: P4mm, No. 99
DOS at the Fermi energy: 3.038 states/eV/f.u.


Calculated magnetization (μB per formula unit), listed in the same order as above: 20.896 0.000 0.117
Calculated uncorrected energy (eV for the cell shown), listed in the same order as above: -1187.264 -113.534 -113.019